A relaxed Na3HF2 crystal, computed with GGA-PBE.

Output
space-group type	Immm, No. 71
raw total energy	-3.726	eV/atom
magnetization	0.00	μB/cell
theoretical density	2.26	g/cm3
density of states at the Fermi level	0.00	states/eV/cell

a = 3.3483 Å, b = 4.7230 Å, c = 5.7910 Å
α = 114.07°, β = 106.80°, γ = 90.00°
Closest atoms and distances in Å follow each position.
Positions (direct):
Na: 0.5000 0.0000 0.5000  2 H 2.36, 4 F 2.37
Na: 0.8307 0.3307 0.1615  4 F 2.35-2.36, 2 H 2.38
Na: 0.1693 0.6693 0.8385  4 F 2.35-2.36, 2 H 2.38
F: 0.1668 0.1668 0.8337  6 Na 2.35-2.37
F: 0.8332 0.8332 0.1663  6 Na 2.35-2.37
H: 0.5000 0.5000 0.5000  6 Na 2.36-2.38



A relaxed NaHF2 crystal, computed with GGA-PBE.

Output
space-group type	C2, No. 5
magnetization	0.00	μB/cell
theoretical density	2.22	g/cm3
distance to the lowest polymorph of the same formula	0.070	eV per atom
density of states at the Fermi level	0.00	states/eV/cell

a = 3.8396 Å, b = 3.8396 Å, c = 3.2212 Å
α = 83.53°, β = 83.53°, γ = 97.81°
Closest atoms and distances in Å follow each position.
Positions (direct):
H: 0.0980 0.9020 0.0000  2 F 1.15
F: 0.8733 0.7108 0.9043  1 H 1.15
F: 0.2892 0.1267 0.0957  1 H 1.15
Na: 0.7354 0.2646 0.5000  6 F 2.31-2.52



A relaxed NaHF3 crystal, computed with GGA-PBE.

Output
space-group type	Pm-3m, No. 221
magnetization	1.28	μB/cell
theoretical density	1.70	g/cm3
distance to the lowest polymorph of the same formula	1.371	eV per atom
density of states at the Fermi level	11.78	states/eV/cell

a = 4.2891 Å, b = 4.2891 Å, c = 4.2891 Å
α = 90.00°, β = 90.00°, γ = 90.00°
Closest atoms and distances in Å follow each position.
Positions (direct):
Na: 0.0000 0.0000 0.0000  6 F 2.14
H: 0.5000 0.5000 0.5000  12 F 3.03
F: 0.0000 0.5000 0.0000  2 Na 2.14
F: 0.0000 0.0000 0.5000  2 Na 2.14
F: 0.5000 0.0000 0.0000  2 Na 2.14